KY2RuF | PBEsol | relaxed

```
KY2RuF
1.0
4.315 0.000 0.000
0.000 5.432 0.000
0.000 0.000 5.432
Y K F Ru
2 1 1 1
direct
0.000 0.000 0.500
0.000 0.500 0.000
0.000 0.000 0.000
0.500 0.500 0.500
0.500 0.000 0.000
```

**Formation energy (no corrections)**: 1.3022 eV/atom
**Final energy**: -4.073 eV/atom


KSbF6 | PBEsol | relaxed

```
KSbF6
1.0
-2.024 -4.820 0.007
2.305 -0.974 -4.590
7.914 -3.316 4.678
F K Sb
12 2 2
direct
0.259 0.741 0.000
0.183 0.817 0.363
0.741 0.741 0.500
0.817 0.817 0.863
0.183 0.817 0.637
0.817 0.183 0.637
0.817 0.817 0.137
0.741 0.259 0.000
0.817 0.183 0.363
0.259 0.259 0.500
0.183 0.183 0.137
0.183 0.183 0.863
0.500 0.500 0.250
0.500 0.500 0.750
0.000 0.000 0.500
0.000 0.000 0.000
```

**Formation energy (no corrections)**: -2.5876 eV/atom
**Final energy**: -4.744 eV/atom